(1)
Computed, not measured: a geometry-optimized PtS2 structure at the GGA-PBE level of DFT.

a b c (Å): 10.720 3.599 5.875
angles (deg): 90.00 90.00 90.00
Space group Pnma (No. 62)
Inequivalent atoms, fractional coordinates:
Pt1 0.138 0.250 0.078 [4 per cell]
S1 0.011 0.750 0.226 [4 per cell]
S2 0.232 0.250 0.453 [4 per cell]

Its electronic total energy is -0.3699 Ry/atom.

=====

(2)
Computed, not measured: a geometry-optimized YAlNiMo structure at the GGA-PBE level of DFT.

a b c (Å): 6.459 6.459 6.459
angles (deg): 90.00 90.00 90.00
Space group F-43m (No. 216)
Inequivalent atoms, fractional coordinates:
Y1 0.000 0.000 0.000 [4 per cell]
Al1 0.000 0.000 0.500 [4 per cell]
Ni1 0.250 0.250 0.750 [4 per cell]
Mo1 0.250 0.250 0.250 [4 per cell]

Its electronic total energy is -0.4808 Ry/atom.

=====

(3)
Computed, not measured: a geometry-optimized Ba2SrAu2 structure at the GGA-PBE level of DFT.

a b c (Å): 8.783 8.783 4.685
angles (deg): 90.00 90.00 90.00
Space group P4/mbm (No. 127)
Inequivalent atoms, fractional coordinates:
Ba1 0.159 0.341 0.000 [4 per cell]
Sr1 0.000 0.000 0.500 [2 per cell]
Au1 0.141 0.641 0.500 [4 per cell]

Its electronic total energy is -0.2232 Ry/atom.

=====

(4)
Computed, not measured: a geometry-optimized Sm3Sb5O12 structure at the GGA-PBE level of DFT.

a b c (Å): 10.896 10.896 10.896
angles (deg): 90.00 90.00 90.00
Space group I-43m (No. 217)
Inequivalent atoms, fractional coordinates:
Sm1 0.000 0.250 0.500 [12 per cell]
Sb1 0.000 0.000 0.277 [12 per cell]
Sb2 0.243 0.243 0.757 [8 per cell]
O1 0.101 0.101 0.610 [24 per cell]
O2 0.138 0.138 0.337 [24 per cell]

Its electronic total energy is -0.5085 Ry/atom.

=====

(5)
Computed, not measured: a geometry-optimized CsTeAu3S structure at the GGA-PBE level of DFT.

a b c (Å): 6.6382 6.6382 5.5616
angles (deg): 90.00 90.00 120.00
Space group P3m1 (No. 156)
Inequivalent atoms, fractional coordinates:
Cs1 0.0000 0.0000 0.0000 [1 per cell]
Te1 0.6667 0.3333 0.7846 [1 per cell]
Au1 0.0183 0.5092 0.4884 [3 per cell]
S1 0.3333 0.6667 0.2129 [1 per cell]

Its electronic total energy is -0.2531 Ry/atom.

=====

(6)
Computed, not measured: a geometry-optimized SmCdAu structure at the GGA-PBE level of DFT.

a b c (Å): 7.8970 7.8970 3.9772
angles (deg): 90.00 90.00 120.00
Space group P-62m (No. 189)
Inequivalent atoms, fractional coordinates:
Sm1 0.0000 0.4029 0.0000 [3 per cell]
Cd1 0.0000 0.7389 0.5000 [3 per cell]
Au1 0.0000 0.0000 0.0000 [1 per cell]
Au2 0.3333 0.6667 0.5000 [2 per cell]

The value obtained for the calculated formation energy is -0.664 eV per atom.

=====

(7)
Computed, not measured: a geometry-optimized NaAgGeSe3 structure at the GGA-PBE level of DFT.

a b c (Å): 3.678 13.942 10.854
angles (deg): 90.00 90.00 90.00
Space group Cmcm (No. 63)
Inequivalent atoms, fractional coordinates:
Na1 0.000 0.222 0.250 [4 per cell]
Ag1 0.000 0.097 0.750 [4 per cell]
Ge1 0.000 0.500 0.000 [4 per cell]
Se1 0.000 0.134 0.521 [8 per cell]
Se2 0.000 0.450 0.750 [4 per cell]

Its electronic total energy is -0.2566 Ry/atom.

=====

(8)
Computed, not measured: a geometry-optimized Pr3Er3Te2Pd structure at the GGA-PBE level of DFT.

a b c (Å): 8.6826 8.6826 3.9334
angles (deg): 90.00 90.00 120.00
Space group P-62m (No. 189)
Inequivalent atoms, fractional coordinates:
Pr1 0.0000 0.7471 0.0000 [3 per cell]
Er1 0.0000 0.4063 0.5000 [3 per cell]
Te1 0.3333 0.6667 0.0000 [2 per cell]
Pd1 0.0000 0.0000 0.5000 [1 per cell]

As for the polymorph energy (0 for the lowest one): 149.2 meV/atom.

=====

(9)
Computed, not measured: a geometry-optimized AlReB4 structure at the GGA-PBE level of DFT.

a b c (Å): 2.9671 2.9671 6.7544
angles (deg): 90.00 90.00 120.00
Space group P6/mmm (No. 191)
Inequivalent atoms, fractional coordinates:
Al1 0.0000 0.0000 0.0000 [1 per cell]
Re1 0.0000 0.0000 0.5000 [1 per cell]
B1 0.3333 0.6667 0.2393 [4 per cell]

As for the polymorph energy (0 for the lowest one): 75.3 meV/atom.

=====

(10)
Computed, not measured: a geometry-optimized LuCdAgPd structure at the GGA-PBE level of DFT.

a b c (Å): 6.804 6.804 6.804
angles (deg): 90.00 90.00 90.00
Space group F-43m (No. 216)
Inequivalent atoms, fractional coordinates:
Lu1 0.000 0.000 0.000 [4 per cell]
Cd1 0.250 0.250 0.750 [4 per cell]
Ag1 0.250 0.250 0.250 [4 per cell]
Pd1 0.000 0.000 0.500 [4 per cell]

The value obtained for the calculated formation energy is -0.355 eV per atom. As for the polymorph energy (0 for the lowest one): 164.6 meV/atom.

=====

(11)
Computed, not measured: a geometry-optimized HfTaNiAs structure at the GGA-PBE level of DFT.

a b c (Å): 6.418 6.418 6.418
angles (deg): 90.00 90.00 90.00
Space group F-43m (No. 216)
Inequivalent atoms, fractional coordinates:
Hf1 0.000 0.000 0.000 [4 per cell]
Ta1 0.250 0.250 0.250 [4 per cell]
Ni1 0.250 0.250 0.750 [4 per cell]
As1 0.000 0.000 0.500 [4 per cell]

As for the polymorph energy (0 for the lowest one): 0.0 meV/atom.

=====

(12)
Computed, not measured: a geometry-optimized Nb3AsP2 structure at the GGA-PBE level of DFT.

a b c (Å): 3.5864 3.5864 9.2019
angles (deg): 90.00 90.00 120.00
Space group P-3m1 (No. 164)
Inequivalent atoms, fractional coordinates:
Nb1 0.0000 0.0000 0.0000 [1 per cell]
Nb2 0.3333 0.6667 0.3044 [2 per cell]
As1 0.0000 0.0000 0.5000 [1 per cell]
P1 0.3333 0.6667 0.8411 [2 per cell]

Its electronic total energy is -0.5983 Ry/atom.

=====

Repeat the first record exactly.
Computed, not measured: a geometry-optimized PtS2 structure at the GGA-PBE level of DFT.

a b c (Å): 10.720 3.599 5.875
angles (deg): 90.00 90.00 90.00
Space group Pnma (No. 62)
Inequivalent atoms, fractional coordinates:
Pt1 0.138 0.250 0.078 [4 per cell]
S1 0.011 0.750 0.226 [4 per cell]
S2 0.232 0.250 0.453 [4 per cell]

Its electronic total energy is -0.3699 Ry/atom.